Below is a geometry-optimized LiHo2CdHg4 structure, with properties calculated at the PBE level.

Cell and atoms, written as POSCAR:
```
LiHo2CdHg4
1.0
5.0273 0.0000 0.0000
2.5137 4.3538 0.0000
2.5137 1.4513 8.2352
Hg Ho Cd Li
4 2 1 1
Cartesian
5.0273 2.9025 7.0632 Hg
2.5137 1.4513 5.0277 Hg
5.0273 2.9025 1.1720 Hg
7.5410 4.3538 3.2075 Hg
2.5137 1.4513 1.9921 Ho
7.5410 4.3538 6.2431 Ho
0.0000 0.0000 0.0000 Cd
5.0273 2.9025 4.1176 Li
```

Calculated values
size of the total moment: 0.0 Bohr magnetons per cell
crystal system: trigonal
DOS at the Fermi energy: 2.71 states/eV per cell



Below is a geometry-optimized HoLuCdHg structure, with properties calculated at the PBE level.

Cell and atoms, written as POSCAR:
```
HoLuCdHg
1.0
5.2139 0.0000 0.0000
2.6070 4.5154 0.0000
2.6070 1.5051 4.2572
Cd Ho Hg Lu
1 1 1 1
Cartesian
7.8209 4.5154 3.1929 Cd
5.2139 3.0103 2.1286 Ho
2.6070 1.5051 1.0643 Hg
0.0000 0.0000 0.0000 Lu
```

Calculated values
size of the total moment: 0.0 Bohr magnetons per cell
crystal system: cubic
DOS at the Fermi energy: 3.16 states/eV per cell



Number 1: energy of formation -0.417 eV per atom. Number 2: energy of formation -0.388 eV per atom.